## Ca3La2PrTe6 (GGA-PBE)

Data for a relaxed Ca3La2PrTe6 crystal.

## Properties
ΔE_f (raw): -1566.6 meV/atom
Space group: No. 12

extended XYZ file:
```
12
Lattice="9.954 -2.252 0.000 9.954 2.252 0.000 -2.316 0.000 8.838" Properties=species:S:1:pos:R:3 pbc="T T T"
Ca 0.000 0.000 0.000
Ca 5.092 0.000 5.899
Ca 12.500 0.000 2.940
La 6.291 0.000 1.528
La 11.301 0.000 7.310
Pr -1.158 0.000 4.419
Te 3.099 0.000 0.764
Te 2.018 0.000 5.086
Te 8.145 0.000 6.662
Te 9.447 0.000 2.176
Te 15.575 0.000 3.753
Te 14.494 0.000 8.074
```

=====

## ZrCuBr (GGA-PBE)

Data for a relaxed ZrCuBr crystal.

## Properties
ΔE_f (raw): -155.9 meV/atom
Space group: No. 107
Energy above the most stable polymorph in this dataset: 125 meV/atom

extended XYZ file:
```
3
Lattice="-1.609 1.609 6.662 1.609 -1.609 6.662 1.609 1.609 -6.662" Properties=species:S:1:pos:R:3 pbc="T T T"
Zr 0.000 0.000 0.000
Cu 0.000 0.000 8.360
Br 0.000 0.000 4.874
```

=====

## MgB2Sb4 (GGA-PBE)

Data for a relaxed MgB2Sb4 crystal.

## Properties
ΔE_f (raw): 662.5 meV/atom
Space group: No. 139

extended XYZ file:
```
7
Lattice="-2.705 2.705 5.971 2.705 -2.705 5.971 2.705 2.705 -5.971" Properties=species:S:1:pos:R:3 pbc="T T T"
Mg 0.000 0.000 0.000
B 0.000 0.000 5.193
B 0.000 0.000 6.748
Sb 2.705 0.000 0.000
Sb 0.000 0.000 3.055
Sb 0.000 2.705 0.000
Sb 0.000 0.000 8.886
```

=====

## Ti2Al4Ga3 (GGA-PBE)

Data for a relaxed Ti2Al4Ga3 crystal.

## Properties
Space group: No. 12
Calculated formation energy: -2.6 eV per formula unit

extended XYZ file:
```
9
Lattice="4.730 -1.892 0.000 4.730 1.892 0.000 -3.216 0.000 8.114" Properties=species:S:1:pos:R:3 pbc="T T T"
Ti 0.737 0.000 1.763
Ti 5.508 0.000 6.351
Al -1.214 0.000 7.231
Al 3.536 0.000 2.645
Al 2.709 0.000 5.468
Al 7.459 0.000 0.883
Ga -0.108 0.000 4.504
Ga 4.730 0.000 0.000
Ga 6.353 0.000 3.610
```

=====

## Pm4O4F5 (GGA-PBE)

Data for a relaxed Pm4O4F5 crystal.

## Properties
ΔE_f (raw): -3439.5 meV/atom
Space group: No. 87

extended XYZ file:
```
13
Lattice="-4.941 4.941 1.864 4.941 -4.941 1.864 4.941 4.941 -1.864" Properties=species:S:1:pos:R:3 pbc="T T T"
Pm 7.358 0.667 0.000
Pm 0.667 2.523 0.000
Pm 4.273 2.417 1.864
Pm -2.417 4.273 1.864
O 3.730 1.232 0.000
O 3.709 -1.211 1.864
O 1.232 6.152 0.000
O 1.211 3.709 1.864
F 0.000 0.000 0.000
F 6.034 3.140 0.000
F 3.140 3.847 0.000
F 1.801 1.094 1.864
F -1.094 1.801 1.864
```

=====

## Tb5Pm2PrEr (GGA-PBE)

Data for a relaxed Tb5Pm2PrEr crystal.

## Properties
Space group: No. 140
Calculated formation energy: 2.4 eV per formula unit

extended XYZ file:
```
18
Lattice="-4.397 4.397 7.723 4.397 -4.397 7.723 4.397 4.397 -7.723" Properties=species:S:1:pos:R:3 pbc="T T T"
Tb 0.000 0.000 0.000
Tb 6.236 1.839 -2.113
Tb 1.839 2.558 -2.113
Tb 6.236 1.839 2.113
Tb 1.839 2.558 2.113
Tb 0.000 0.000 7.723
Tb 2.558 1.839 5.610
Tb -1.839 2.558 5.610
Tb 2.558 1.839 9.836
Tb -1.839 2.558 9.836
Pm 3.375 1.022 0.000
Pm 3.375 -1.022 7.723
Pm 1.022 5.419 0.000
Pm 1.022 3.375 7.723
Pr 0.000 0.000 3.862
Pr 0.000 0.000 11.585
Er 4.397 0.000 3.862
Er 0.000 4.397 3.862
```

=====

## Nd3PO7 (GGA-PBE)

Data for a relaxed Nd3PO7 crystal.

## Properties
ΔE_f (raw): -3186.0 meV/atom
Space group: No. 12

extended XYZ file:
```
66
Lattice="6.555 -6.679 0.000 6.555 6.679 0.000 -3.897 0.000 11.775" Properties=species:S:1:pos:R:3 pbc="T T T"
Nd 3.750 2.101 1.334
Nd 3.775 4.366 8.099
Nd 1.211 2.062 9.086
Nd 2.840 2.317 5.251
Nd 5.438 4.366 3.676
Nd 6.555 4.120 0.000
Nd 1.211 -2.062 9.086
Nd 3.750 -2.101 1.334
Nd 6.372 2.317 6.524
Nd 2.840 -2.317 5.251
Nd 5.463 2.101 10.441
Nd 8.001 2.062 2.689
Nd 6.555 -4.120 0.000
Nd 3.775 -4.366 8.099
Nd 6.372 -2.317 6.524
Nd 8.001 -2.062 2.689
Nd 5.438 -4.366 3.676
Nd 5.463 -2.101 10.441
P -1.345 0.000 10.482
P 1.167 0.000 3.185
P 3.844 0.000 8.011
P 5.369 0.000 3.764
P 8.046 0.000 8.590
P 10.557 0.000 1.293
O 4.877 5.404 1.328
O 1.354 1.291 2.346
O -0.297 0.000 3.792
O 1.890 3.290 7.199
O 3.360 3.433 3.270
O 0.656 3.026 11.123
O 4.335 5.404 10.447
O -0.375 0.000 9.245
O 4.606 3.825 5.888
O 1.354 -1.291 2.346
O 3.419 0.000 0.003
O 2.135 0.000 4.427
O 3.269 2.860 9.851
O 5.944 2.860 1.924
O 2.312 0.000 8.370
O 4.133 1.283 7.199
O 5.852 3.433 8.505
O 5.080 1.283 4.576
O 4.532 0.000 2.456
O 7.322 3.290 4.576
O 8.556 3.026 0.652
O 0.656 -3.026 11.123
O 1.890 -3.290 7.199
O 4.681 0.000 9.319
O 4.133 -1.283 7.199
O 3.360 -3.433 3.270
O 5.080 -1.283 4.576
O 6.900 0.000 3.405
O 3.269 -2.860 9.851
O 5.944 -2.860 1.924
O 7.078 0.000 7.348
O 5.793 0.000 11.772
O 7.858 1.291 9.429
O 4.606 -3.825 5.888
O 9.588 0.000 2.530
O 4.877 -5.404 1.328
O 8.556 -3.026 0.652
O 5.852 -3.433 8.505
O 7.322 -3.290 4.576
O 9.509 0.000 7.983
O 7.858 -1.291 9.429
O 4.335 -5.404 10.447
```

=====

## LiNbZnPb2 (GGA-PBE)

Data for a relaxed LiNbZnPb2 crystal.

## Properties
Space group: No. 123
Calculated formation energy: 4.0 eV per formula unit

extended XYZ file:
```
5
Lattice="5.292 0.000 0.000 0.000 5.292 0.000 0.000 0.000 4.433" Properties=species:S:1:pos:R:3 pbc="T T T"
Li 0.000 0.000 0.000
Nb 2.646 2.646 0.000
Zn 0.000 0.000 2.216
Pb 0.000 2.646 2.216
Pb 2.646 0.000 2.216
```

=====

## Ba2In3Ga5 (GGA-PBE)

Data for a relaxed Ba2In3Ga5 crystal.

## Properties
Space group: No. 72
Calculated formation energy: -3.9 eV per formula unit

extended XYZ file:
```
20
Lattice="-5.625 6.839 3.404 5.625 -6.839 3.404 5.625 6.839 -3.404" Properties=species:S:1:pos:R:3 pbc="T T T"
Ba 2.713 1.710 0.000
Ba 2.713 -1.710 3.404
Ba 2.912 8.549 0.000
Ba 2.912 5.130 3.404
In 4.235 -5.063 3.404
In 5.625 0.000 1.702
In 4.235 5.063 0.000
In 1.390 1.776 3.404
In 0.000 6.839 1.702
In 1.390 11.903 0.000
Ga 5.625 -3.216 1.702
Ga 7.112 1.774 0.000
Ga 0.000 0.000 1.702
Ga 1.486 5.065 0.000
Ga 5.625 3.216 1.702
Ga 0.000 3.623 1.702
Ga 4.139 1.774 3.404
Ga 0.000 0.000 5.107
Ga -1.486 5.065 3.404
Ga 0.000 10.056 1.702
```

=====

## MgZnCuF6 (GGA-PBE)

Data for a relaxed MgZnCuF6 crystal.

## Properties
ΔE_f (raw): -2431.0 meV/atom
Space group: No. 102

extended XYZ file:
```
18
Lattice="4.724 0.000 0.000 0.000 4.724 0.000 0.000 0.000 9.484" Properties=species:S:1:pos:R:3 pbc="T T T"
Mg 0.000 0.000 0.000
Mg 2.362 2.362 4.742
Zn 0.000 0.000 6.316
Zn 2.362 2.362 1.574
Cu 0.000 0.000 3.162
Cu 2.362 2.362 7.904
F 0.919 0.919 1.545
F 0.930 0.930 7.932
F 0.945 0.945 4.740
F 1.417 3.307 9.482
F 1.432 3.292 3.190
F 1.443 3.281 6.287
F 3.281 1.443 6.287
F 3.292 1.432 3.190
F 3.307 1.417 9.482
F 3.779 3.779 4.740
F 3.795 3.795 7.932
F 3.805 3.805 1.545
```

=====

## ZnTeAs2 (GGA-PBE)

Data for a relaxed ZnTeAs2 crystal.

## Properties
ΔE_f (raw): 387.7 meV/atom
Space group: No. 123
Energy above the most stable polymorph in this dataset: 501 meV/atom

extended XYZ file:
```
4
Lattice="4.918 0.000 0.000 0.000 4.918 0.000 0.000 0.000 3.489" Properties=species:S:1:pos:R:3 pbc="T T T"
Zn 0.000 0.000 0.000
Te 2.459 2.459 0.000
As 0.000 2.459 1.745
As 2.459 0.000 1.745
```

=====

## U2Ni12GeP3 (GGA-PBE)

Data for a relaxed U2Ni12GeP3 crystal.

## Properties
Space group: No. 166
Calculated formation energy: -0.5 eV per formula unit

extended XYZ file:
```
18
Lattice="3.700 2.136 5.570 -3.700 2.136 5.570 0.000 -4.273 5.570" Properties=species:S:1:pos:R:3 pbc="T T T"
U 0.000 0.000 1.879
U 0.000 0.000 14.832
Ni -1.963 -1.133 7.755
Ni 0.000 -2.032 4.951
Ni -1.760 1.016 4.951
Ni 0.000 -2.266 8.956
Ni -1.963 1.133 8.956
Ni -1.760 -1.016 11.760
Ni 1.760 1.016 4.951
Ni 1.963 -1.133 7.755
Ni 0.000 2.266 7.755
Ni 1.760 -1.016 11.760
Ni 0.000 2.032 11.760
Ni 1.963 1.133 8.956
Ge 0.000 0.000 8.356
P -1.850 -1.068 5.570
P -1.850 1.068 11.141
P 0.000 2.136 5.570
```

=====

## MnGa2Ge2 (GGA-PBE)

Data for a relaxed MnGa2Ge2 crystal.

## Properties
Space group: No. 127
Calculated formation energy: 0.9 eV per formula unit

extended XYZ file:
```
10
Lattice="6.575 0.000 0.000 0.000 6.575 0.000 0.000 0.000 4.132" Properties=species:S:1:pos:R:3 pbc="T T T"
Mn 0.000 0.000 0.000
Mn 3.288 3.288 0.000
Ga 1.138 2.149 2.066
Ga 2.149 5.437 2.066
Ga 4.426 1.138 2.066
Ga 5.437 4.426 2.066
Ge 0.934 4.221 0.000
Ge 2.354 0.934 0.000
Ge 4.221 5.641 0.000
Ge 5.641 2.354 0.000
```

=====

## LaTa2Cu (GGA-PBE)

Data for a relaxed LaTa2Cu crystal.

## Properties
Space group: No. 10
Calculated formation energy: 2.0 eV per formula unit
Energy above the most stable polymorph in this dataset: 257 meV/atom

extended XYZ file:
```
4
Lattice="3.183 0.000 0.000 0.000 5.168 0.000 -0.700 0.000 5.088" Properties=species:S:1:pos:R:3 pbc="T T T"
La 0.000 0.000 0.000
Ta 0.622 2.584 3.708
Ta 1.861 2.584 1.380
Cu 1.242 0.000 2.544
```

=====

## Lu2HgAu (GGA-PBE)

Data for a relaxed Lu2HgAu crystal.

## Properties
Space group: No. 123
Calculated formation energy: -2.8 eV per formula unit
Energy above the most stable polymorph in this dataset: 0 meV/atom

extended XYZ file:
```
4
Lattice="3.607 0.000 0.000 0.000 3.607 0.000 0.000 0.000 7.109" Properties=species:S:1:pos:R:3 pbc="T T T"
Lu 0.000 0.000 1.695
Lu 0.000 0.000 5.414
Hg 1.803 1.803 3.554
Au 1.803 1.803 0.000
```

=====

## Ta4Os5 (GGA-PBE)

Data for a relaxed Ta4Os5 crystal.

## Properties
Space group: No. 193
Calculated formation energy: -0.5 eV per formula unit
Energy above the most stable polymorph in this dataset: 161 meV/atom

extended XYZ file:
```
18
Lattice="7.842 0.000 0.000 -3.921 6.791 0.000 0.000 0.000 5.469" Properties=species:S:1:pos:R:3 pbc="T T T"
Ta 0.000 0.000 0.000
Ta 0.000 0.000 2.734
Ta -1.408 2.438 1.367
Ta -2.513 4.353 4.102
Ta 2.816 0.000 1.367
Ta 1.408 2.438 4.102
Ta 5.026 0.000 4.102
Ta 2.513 4.353 1.367
Os -1.232 2.134 4.102
Os -2.689 4.658 1.367
Os 2.464 0.000 4.102
Os 1.232 2.134 1.367
Os 0.000 4.528 0.000
Os 0.000 4.528 2.734
Os 3.921 2.264 0.000
Os 3.921 2.264 2.734
Os 5.378 0.000 1.367
Os 2.689 4.658 4.102
```

=====

## Rb2IBr6N (GGA-PBE)

Data for a relaxed Rb2IBr6N crystal.

## Properties
ΔE_f (raw): -266.7 meV/atom
Space group: No. 139

extended XYZ file:
```
10
Lattice="-3.855 3.855 5.293 3.855 -3.855 5.293 3.855 3.855 -5.293" Properties=species:S:1:pos:R:3 pbc="T T T"
Rb 3.855 0.000 2.646
Rb 0.000 3.855 2.646
I 0.000 0.000 0.000
Br 0.000 0.000 2.877
Br 2.111 2.111 0.000
Br 1.743 -1.743 5.293
Br -1.743 1.743 5.293
Br 1.743 1.743 5.293
Br 0.000 0.000 7.709
N 0.000 0.000 5.293
```

=====

## Y2ScRh (GGA-PBE)

Data for a relaxed Y2ScRh crystal.

## Properties
Space group: No. 71
Calculated formation energy: -1.6 eV per formula unit
Energy above the most stable polymorph in this dataset: 64 meV/atom

extended XYZ file:
```
4
Lattice="-1.828 2.598 5.134 1.828 -2.598 5.134 1.828 2.598 -5.134" Properties=species:S:1:pos:R:3 pbc="T T T"
Y 0.000 0.000 2.073
Y 0.000 0.000 8.195
Sc 0.000 2.598 0.000
Rh 1.828 0.000 0.000
```

=====

## Ag2TeP (GGA-PBE)

Data for a relaxed Ag2TeP crystal.

## Properties
ΔE_f (raw): 404.9 meV/atom
Space group: No. 119
Energy above the most stable polymorph in this dataset: 202 meV/atom

extended XYZ file:
```
4
Lattice="-2.125 2.125 4.524 2.125 -2.125 4.524 2.125 2.125 -4.524" Properties=species:S:1:pos:R:3 pbc="T T T"
Ag 0.000 0.000 0.000
Ag 0.000 2.125 2.262
Te 0.000 0.000 4.524
P 2.125 0.000 2.262
```

=====

## Pr4ScBi5 (GGA-PBE)

Data for a relaxed Pr4ScBi5 crystal.

## Properties
Space group: No. 87
Calculated formation energy: -8.7 eV per formula unit

extended XYZ file:
```
10
Lattice="-5.107 5.107 3.249 5.107 -5.107 3.249 5.107 5.107 -3.249" Properties=species:S:1:pos:R:3 pbc="T T T"
Pr 7.134 0.965 0.000
Pr 0.965 3.080 0.000
Pr 4.142 2.027 3.249
Pr -2.027 4.142 3.249
Sc 0.000 0.000 3.249
Bi 0.000 0.000 0.000
Bi 4.111 2.179 0.000
Bi 2.928 -0.996 3.249
Bi 2.179 6.103 0.000
Bi 0.996 2.928 3.249
```